Record 1
# PBE K5AuSeO2, optimized geometry
# **E_tot**: -31.90 eV per cell
data_K5AuSeO2
_chemical_formula_sum 'K5 Au1 Se1 O2'
_cell_length_a 5.284
_cell_length_b 5.284
_cell_length_c 9.127
_cell_angle_alpha 90.00
_cell_angle_beta 90.00
_cell_angle_gamma 90.00
_space_group_name_H-M_alt 'P 4/m m m'
_space_group_IT_number 123
_space_group_name_Hall '-P 4 2'
loop_
_atom_site_label
_atom_site_type_symbol
_atom_site_fract_x
_atom_site_fract_y
_atom_site_fract_z
_atom_site_occupancy
K1 K 0.000 0.000 0.000 1
K2 K 0.000 0.500 0.249 1
Au1 Au 0.000 0.000 0.500 1
Se1 Se 0.500 0.500 0.000 1
O1 O 0.000 0.000 0.279 1



Record 2
# PBE KSiAuO3, optimized geometry
# **E_tot**: -137.34 eV per cell
data_KSiAuO3
_chemical_formula_sum 'K4 Si4 Au4 O12'
_cell_length_a 11.393
_cell_length_b 2.873
_cell_length_c 10.239
_cell_angle_alpha 90.00
_cell_angle_beta 90.00
_cell_angle_gamma 90.00
_space_group_name_H-M_alt 'P n m a'
_space_group_IT_number 62
_space_group_name_Hall '-P 2ac 2n'
loop_
_atom_site_label
_atom_site_type_symbol
_atom_site_fract_x
_atom_site_fract_y
_atom_site_fract_z
_atom_site_occupancy
K1 K 0.240 0.250 0.142 1
Si1 Si 0.029 0.250 0.384 1
Au1 Au 0.027 0.250 0.901 1
O1 O 0.064 0.750 0.754 1
O2 O 0.074 0.250 0.549 1
O3 O 0.114 0.750 0.335 1



Record 3
# PBE KSnAu3O4, optimized geometry
# **E_tot**: -36.80 eV per cell
data_KSnAu3O4
_chemical_formula_sum 'K1 Sn1 Au3 O4'
_cell_length_a 5.806
_cell_length_b 5.806
_cell_length_c 5.806
_cell_angle_alpha 90.00
_cell_angle_beta 90.00
_cell_angle_gamma 90.00
_space_group_name_H-M_alt 'P -4 3 m'
_space_group_IT_number 215
_space_group_name_Hall 'P -4 2 3'
loop_
_atom_site_label
_atom_site_type_symbol
_atom_site_fract_x
_atom_site_fract_y
_atom_site_fract_z
_atom_site_occupancy
K1 K 0.000 0.000 0.000 1
Sn1 Sn 0.500 0.500 0.500 1
Au1 Au 0.000 0.500 0.500 1
O1 O 0.298 0.298 0.298 1



Record 4
# PBE KTeAuO, optimized geometry
# **Energy above the lowest structure with this stoichiometry**: 668.8 meV per atom
data_KTeAuO
_chemical_formula_sum 'K2 Te2 Au2 O2'
_cell_length_a 4.582
_cell_length_b 4.582
_cell_length_c 10.148
_cell_angle_alpha 90.00
_cell_angle_beta 90.00
_cell_angle_gamma 90.00
_space_group_name_H-M_alt 'P 4/n m m'
_space_group_IT_number 129
loop_
_space_group_symop_operation_xyz
'x,y,z'
'-x,-y,-z'
'-y+1/2,x,z'
'y+1/2,-x,-z'
'-x+1/2,-y+1/2,z'
'x+1/2,y+1/2,-z'
'y,-x+1/2,z'
'-y,x+1/2,-z'
'x+1/2,-y,-z'
'-x+1/2,y,z'
'-y,-x,-z'
'y,x,z'
'-x,y+1/2,-z'
'x,-y+1/2,z'
'y+1/2,x+1/2,-z'
'-y+1/2,-x+1/2,z'
loop_
_atom_site_label
_atom_site_type_symbol
_atom_site_fract_x
_atom_site_fract_y
_atom_site_fract_z
_atom_site_occupancy
K1 K 0.250 0.750 0.000 1
Te1 Te 0.250 0.250 0.236 1
Au1 Au 0.250 0.250 0.507 1
O1 O 0.250 0.750 0.500 1



Record 5
# PBE K5TeAuO2, optimized geometry
# **E_tot**: -31.46 eV per cell
data_K5TeAuO2
_chemical_formula_sum 'K5 Te1 Au1 O2'
_cell_length_a 5.388
_cell_length_b 5.388
_cell_length_c 9.235
_cell_angle_alpha 90.00
_cell_angle_beta 90.00
_cell_angle_gamma 90.00
_space_group_name_H-M_alt 'P 4/m m m'
_space_group_IT_number 123
_space_group_name_Hall '-P 4 2'
loop_
_atom_site_label
_atom_site_type_symbol
_atom_site_fract_x
_atom_site_fract_y
_atom_site_fract_z
_atom_site_occupancy
K1 K 0.000 0.000 0.000 1
K2 K 0.000 0.500 0.260 1
Te1 Te 0.500 0.500 0.000 1
Au1 Au 0.000 0.000 0.500 1
O1 O 0.000 0.000 0.281 1



Record 6
# PBE K2TeAuO6, optimized geometry
# **E_tot**: -95.27 eV per cell
data_K2TeAuO6
_chemical_formula_sum 'K4 Te2 Au2 O12'
_cell_length_a 11.898
_cell_length_b 5.414
_cell_length_c 4.913
_cell_angle_alpha 90.00
_cell_angle_beta 105.82
_cell_angle_gamma 90.00
_space_group_name_H-M_alt 'C 1 2/m 1'
_space_group_IT_number 12
_space_group_name_Hall '-C 2y'
loop_
_atom_site_label
_atom_site_type_symbol
_atom_site_fract_x
_atom_site_fract_y
_atom_site_fract_z
_atom_site_occupancy
K1 K 0.233 0.000 0.215 1
Te1 Te 0.000 0.500 0.000 1
Au1 Au 0.000 0.000 0.500 1
O1 O 0.069 0.251 0.793 1
O2 O 0.150 0.500 0.254 1



Record 7
# PBE KTeAuO, optimized geometry
# **Energy above the lowest structure with this stoichiometry**: 0.0 meV per atom
data_KTeAuO
_chemical_formula_sum 'K2 Te2 Au2 O2'
_cell_length_a 4.916
_cell_length_b 7.046
_cell_length_c 6.724
_cell_angle_alpha 90.00
_cell_angle_beta 90.00
_cell_angle_gamma 90.00
_space_group_name_H-M_alt 'P m c 21'
_space_group_IT_number 26
_space_group_name_Hall 'P 2c -2'
loop_
_atom_site_label
_atom_site_type_symbol
_atom_site_fract_x
_atom_site_fract_y
_atom_site_fract_z
_atom_site_occupancy
K1 K 0.000 0.184 0.000 1
Te1 Te 0.000 0.325 0.476 1
Au1 Au 0.500 0.464 0.377 1
O1 O 0.500 0.339 0.103 1



Record 8
# PBE KZrAu3O4, optimized geometry
# **E_tot**: -46.72 eV per cell
data_KZrAu3O4
_chemical_formula_sum 'K1 Zr1 Au3 O4'
_cell_length_a 5.694
_cell_length_b 5.694
_cell_length_c 5.694
_cell_angle_alpha 90.00
_cell_angle_beta 90.00
_cell_angle_gamma 90.00
_space_group_name_H-M_alt 'P -4 3 m'
_space_group_IT_number 215
_space_group_name_Hall 'P -4 2 3'
loop_
_atom_site_label
_atom_site_type_symbol
_atom_site_fract_x
_atom_site_fract_y
_atom_site_fract_z
_atom_site_occupancy
K1 K 0.000 0.000 0.000 1
Zr1 Zr 0.500 0.500 0.500 1
Au1 Au 0.000 0.500 0.500 1
O1 O 0.291 0.291 0.291 1



| no. | ρ (Mg/m³) |
| --- | --- |
| 1 | 3.28 |
| 2 | 6.19 |
| 3 | 6.89 |
| 4 | 5.92 |
| 5 | 3.42 |
| 6 | 5.44 |
| 7 | 5.41 |
| 8 | 7.06 |